Entry 1:
An optimized crystal structure of TcIrOs2, computed with GGA-PBE.

The structure in CIF format:
```
data_TcIrOs2
_chemical_formula_sum 'Tc4 Ir4 Os8'
_space_group_name_H-M_alt 'F m -3 m'
_space_group_IT_number 225
_space_group_name_Hall '-F 4 2 3'
_cell_length_a 6.189
_cell_length_b 6.189
_cell_length_c 6.189
_cell_angle_alpha 90.00
_cell_angle_beta 90.00
_cell_angle_gamma 90.00
loop_
_atom_site_label
_atom_site_type_symbol
_atom_site_fract_x
_atom_site_fract_y
_atom_site_fract_z
Tc1 Tc 0.000 0.000 0.000
Ir1 Ir 0.000 0.000 0.500
Os1 Os 0.250 0.250 0.250
```

E above lowest polymorph ... 2.53 eV/f.u.
Calculated formation energy ... 0.619 eV/atom
E_tot ... -9.80 eV/atom

=====

Entry 2:
An optimized crystal structure of InNi2Ge, computed with GGA-PBE.

The structure in CIF format:
```
data_InNi2Ge
_chemical_formula_sum 'In4 Ni8 Ge4'
_space_group_name_H-M_alt 'I -4 2 d'
_space_group_IT_number 122
_space_group_name_Hall 'I -4 2bw'
_cell_length_a 6.826
_cell_length_b 6.826
_cell_length_c 5.569
_cell_angle_alpha 90.00
_cell_angle_beta 90.00
_cell_angle_gamma 90.00
loop_
_atom_site_label
_atom_site_type_symbol
_atom_site_fract_x
_atom_site_fract_y
_atom_site_fract_z
In1 In 0.000 0.000 0.000
Ni1 Ni 0.206 0.750 0.625
Ge1 Ge 0.000 0.000 0.500
```

Calculated formation energy ... 0.152 eV/atom
E_tot ... -4.58 eV/atom

=====

Entry 3:
An optimized crystal structure of CsInRu2, computed with GGA-PBE.

The structure in CIF format:
```
data_CsInRu2
_chemical_formula_sum 'Cs4 In4 Ru8'
_space_group_name_H-M_alt 'I -4 2 d'
_space_group_IT_number 122
_space_group_name_Hall 'I -4 2bw'
_cell_length_a 4.932
_cell_length_b 4.932
_cell_length_c 19.397
_cell_angle_alpha 90.00
_cell_angle_beta 90.00
_cell_angle_gamma 90.00
loop_
_atom_site_label
_atom_site_type_symbol
_atom_site_fract_x
_atom_site_fract_y
_atom_site_fract_z
Cs1 Cs 0.000 0.000 0.000
In1 In 0.000 0.000 0.500
Ru1 Ru 0.007 0.250 0.625
```

Calculated formation energy ... 1.020 eV/atom
E_tot ... -4.52 eV/atom

=====

Entry 4:
An optimized crystal structure of KSbOs2, computed with GGA-PBE.

The structure in CIF format:
```
data_KSbOs2
_chemical_formula_sum 'K1 Sb1 Os2'
_space_group_name_H-M_alt 'P 4/m m m'
_space_group_IT_number 123
_space_group_name_Hall '-P 4 2'
_cell_length_a 4.201
_cell_length_b 4.201
_cell_length_c 4.289
_cell_angle_alpha 90.00
_cell_angle_beta 90.00
_cell_angle_gamma 90.00
loop_
_atom_site_label
_atom_site_type_symbol
_atom_site_fract_x
_atom_site_fract_y
_atom_site_fract_z
K1 K 0.000 0.000 0.000
Sb1 Sb 0.500 0.500 0.000
Os1 Os 0.000 0.500 0.500
```

E_tot ... -5.42 eV/atom
Formation energy without anion corrections ... 1.496 eV/atom

=====

Entry 5:
An optimized crystal structure of Tb6ErTl6, computed with GGA-PBE.

The structure in CIF format:
```
data_Tb6ErTl6
_chemical_formula_sum 'Tb6 Er1 Tl6'
_space_group_name_H-M_alt 'P 6/m m m'
_space_group_IT_number 191
_space_group_name_Hall '-P 6 2'
_cell_length_a 6.4495
_cell_length_b 6.4495
_cell_length_c 10.5865
_cell_angle_alpha 90.00
_cell_angle_beta 90.00
_cell_angle_gamma 120.00
loop_
_atom_site_label
_atom_site_type_symbol
_atom_site_fract_x
_atom_site_fract_y
_atom_site_fract_z
Tb1 Tb 0.0000 0.0000 0.1659
Tb2 Tb 0.3333 0.6667 0.0000
Tb3 Tb 0.3333 0.6667 0.5000
Er1 Er 0.0000 0.0000 0.5000
Tl1 Tl 0.0000 0.5000 0.2534
```

Calculated formation energy ... -0.177 eV/atom
E_tot ... -3.76 eV/atom

=====

Entry 6:
An optimized crystal structure of Ba5In4, computed with GGA-PBE.

The structure in CIF format:
```
data_Ba5In4
_chemical_formula_sum 'Ba10 In8'
_space_group_name_H-M_alt 'P 63/m c m'
_space_group_IT_number 193
_space_group_name_Hall '-P 6c 2'
_cell_length_a 10.6132
_cell_length_b 10.6132
_cell_length_c 7.7259
_cell_angle_alpha 90.00
_cell_angle_beta 90.00
_cell_angle_gamma 120.00
loop_
_atom_site_label
_atom_site_type_symbol
_atom_site_fract_x
_atom_site_fract_y
_atom_site_fract_z
Ba1 Ba 0.0000 0.2909 0.2500
Ba2 Ba 0.3333 0.6667 0.0000
In1 In 0.0000 0.0000 0.0000
In2 In 0.0000 0.3697 0.7500
```

E above lowest polymorph ... 0.81 eV/f.u.
Calculated formation energy ... -0.273 eV/atom
E_tot ... -2.56 eV/atom